Here is a relaxed HgW5 crystal from Alexandria. Energies are from PBE-GGA.

Properties
- V: 101 Å³/cell
- SG: No. 8

Cell and atoms, written as POSCAR:
```
HgW5
1.0
-5.5222 -0.6172 0.5598
-4.5757 -0.9155 3.0681
-2.3961 6.5627 1.6846
Hg W
1 5
Cartesian
-2.3923 6.5224 1.6784
-6.7816 0.9464 2.6715
-4.1766 1.6612 1.7735
-11.0436 2.6172 4.4784
-8.3841 3.2606 3.5513
-5.0172 5.8065 2.5837
```

Here is a relaxed Tb8CoRu2 crystal from Alexandria. Energies are from PBE-GGA.

Properties
- V: 292 Å³/cell
- SG: No. 8

Cell and atoms, written as POSCAR:
```
Tb8CoRu2
1.0
-2.1029 3.2955 -4.6013
4.9501 -4.4532 -3.4921
-6.2146 -3.6032 2.2193
Tb Co Ru
8 1 2
Cartesian
-0.0452 0.0582 -3.7283
-2.9764 0.2814 -2.2288
-0.8235 -2.2688 -1.2722
-6.0287 -0.4984 -3.5195
0.5832 -1.0018 -6.9019
-2.4904 -2.5772 -4.4846
-0.3593 -5.2669 -3.4919
-3.2438 -5.0472 -2.0163
-1.5920 -7.5012 -1.9956
0.4821 -2.6702 -3.9070
-3.7531 -2.3477 -1.7404
```

Here is a relaxed TlGeSbI2 crystal from Alexandria. Energies are from PBE-GGA.

Properties
- V: 214 Å³/cell
- SG: No. 123
- Uncorrected formation energy: 0.68 eV/atom

Cell and atoms, written as POSCAR:
```
TlGeSbI2
1.0
6.0512 0.0000 0.0000
0.0000 6.0512 0.0000
0.0000 0.0000 5.8385
I Sb Tl Ge
2 1 1 1
Cartesian
0.0000 3.0256 0.0000
3.0256 0.0000 0.0000
0.0000 0.0000 2.9192
0.0000 0.0000 0.0000
3.0256 3.0256 2.9192
```

Here is a relaxed FeNiP crystal from Alexandria. Energies are from PBE-GGA.

Properties
- V: 47 Å³/cell
- SG: No. 123

Cell and atoms, written as POSCAR:
```
FeNiP
1.0
3.3871 0.0000 0.0000
0.0000 3.3871 0.0000
0.0000 0.0000 4.1099
Fe Ni P
1 1 1
Cartesian
0.0000 0.0000 0.0000
1.6936 1.6936 0.0000
1.6936 1.6936 2.0550
```

Here is a relaxed SnP2RhS crystal from Alexandria. Energies are from PBE-GGA.

Properties
- V: 106 Å³/cell
- SG: No. 123
- Uncorrected formation energy: 0.34 eV/atom

Cell and atoms, written as POSCAR:
```
SnP2RhS
1.0
-0.1314 -4.1518 1.7072
4.2271 0.4605 1.4452
-1.7621 1.9232 4.5413
P S Rh Sn
2 1 1 1
Cartesian
2.1136 0.2303 0.7226
-0.0657 -2.0759 0.8536
-0.8811 0.9616 2.2707
0.0000 0.0000 0.0000
1.1668 -0.8841 3.8469
```

Here is a relaxed YHo5Er5 crystal from Alexandria. Energies are from PBE-GGA.

Properties
- V: 359 Å³/cell
- SG: No. 187

Cell and atoms, written as POSCAR:
```
YHo5Er5
1.0
6.0230 0.0000 0.0000
-3.0115 5.2160 0.0000
0.0000 0.0000 11.4257
Y Ho Er
1 5 5
Cartesian
0.0000 3.4774 0.0000
1.5176 0.8762 5.7128
0.0000 0.0000 3.0144
3.0115 3.4636 5.7128
4.5053 0.8762 5.7128
0.0000 0.0000 8.4113
3.0115 1.7387 1.8013
3.0115 1.7387 9.6244
0.0000 3.4774 3.6521
0.0000 3.4774 7.7736
0.0000 0.0000 0.0000
```

Here is a relaxed Cd2CuPb crystal from Alexandria. Energies are from PBE-GGA.

Properties
- V: 89 Å³/cell
- SG: No. 139

Cell and atoms, written as POSCAR:
```
Cd2CuPb
1.0
-3.5438 0.0165 4.3595
1.9497 -2.7373 4.5022
2.0736 3.9603 -3.4029
Cd Cu Pb
2 1 1
Cartesian
0.0000 0.0000 0.0000
-0.7971 -1.3604 4.4308
1.6132 -0.0687 2.7651
-1.1336 1.3082 2.6937
```

Here is a relaxed Pa6Cd4O19 crystal from Alexandria. Energies are from PBE-GGA.

Properties
- V: 478 Å³/cell
- SG: No. 197
- Uncorrected formation energy: -2.72 eV/atom

Cell and atoms, written as POSCAR:
```
Pa6Cd4O19
1.0
0.5719 -8.5112 0.2364
7.6742 3.4099 1.5177
-5.5158 2.6467 5.9494
Pa Cd O
6 4 19
Cartesian
-0.4968 1.1588 5.7054
3.2271 -3.6134 1.9981
2.5736 2.1038 4.0515
0.1567 -4.5585 3.6521
4.8111 -0.6199 3.2574
-2.0808 -1.8347 4.4461
-3.9981 1.9184 4.3123
5.5625 2.4717 1.1001
0.7513 -0.6754 2.1197
0.4146 -6.1693 0.1714
-3.1070 -3.6856 3.8875
-1.8368 -2.1789 2.2983
3.0638 -1.8953 0.6517
5.1824 -3.2060 1.1024
1.3564 3.8063 4.6928
0.8019 2.2503 2.7743
0.0000 0.0000 0.0000
-0.5426 -0.2792 4.0895
-3.1709 -2.1329 6.3527
3.9733 -2.6087 3.7630
4.2301 -5.4740 2.6650
5.2008 0.1116 1.2018
1.1978 -2.9703 2.6152
-1.6832 2.5049 4.4042
1.7158 1.0301 5.7226
-0.9100 -4.9608 1.7514
4.0603 3.0043 5.4267
2.7986 0.1444 3.0403
-0.4883 -3.0971 5.1887
```

Here is a relaxed SiBr2N crystal from Alexandria. Energies are from PBE-GGA.

Properties
- V: 202 Å³/cell
- SG: No. 122
- Uncorrected formation energy: 1.55 eV/atom

Cell and atoms, written as POSCAR:
```
SiBr2N
1.0
5.8506 0.0000 0.0000
0.0000 5.8506 0.0000
2.9253 2.9253 5.9025
Si Br N
2 4 2
Cartesian
0.0000 0.0000 0.0000
5.8506 2.9253 2.9513
3.6948 1.4626 1.4756
2.1558 4.3879 1.4756
4.3879 5.0811 4.4269
7.3132 6.6201 4.4269
2.9253 2.9253 0.0000
2.9253 5.8506 2.9513
```

Here is a relaxed La12TlCu5 crystal from Alexandria. Energies are from PBE-GGA.

Properties
- V: 539 Å³/cell
- SG: No. 71

Cell and atoms, written as POSCAR:
```
La12TlCu5
1.0
8.1961 -0.2475 -3.5223
-4.2351 7.5338 -2.2250
-0.3743 0.2475 8.9131
La Tl Cu
12 1 5
Cartesian
0.5845 6.1897 2.6603
3.0023 1.3440 0.5054
6.2809 1.3440 2.7650
-2.6941 6.1897 0.4007
2.6905 5.0259 -0.6314
0.8962 2.5079 3.7971
-0.7420 5.2733 6.1740
4.3287 2.2604 -3.0083
3.8562 4.4687 2.7747
-0.2695 3.0651 0.3910
-2.8600 7.4383 4.1498
6.4468 0.0955 -0.9841
-2.3047 3.8906 3.3440
2.5306 4.6549 -3.6718
1.4305 2.6314 -2.0756
3.3755 0.9038 3.4723
0.2113 6.6299 -0.3065
0.0000 0.0000 0.0000
```

Here is a relaxed TiAlHPd2 crystal from Alexandria. Energies are from PBE-GGA.

Properties
- V: 64 Å³/cell
- SG: No. 123

Cell and atoms, written as POSCAR:
```
TiAlHPd2
1.0
-0.8525 -3.5857 -1.5527
-1.0869 -1.3090 3.6194
-3.7841 1.2033 -0.7012
H Al Pd Ti
1 1 2 1
Cartesian
0.0000 0.0000 0.0000
-2.8617 -1.8457 0.6828
-0.5434 -0.6545 1.8097
-0.4262 -1.7929 -0.7764
-1.8921 0.6016 -0.3506
```

Here is a relaxed TlSb2Br crystal from Alexandria. Energies are from PBE-GGA.

Properties
- V: 115 Å³/cell
- SG: No. 216
- Uncorrected formation energy: -0.03 eV/atom

Cell and atoms, written as POSCAR:
```
TlSb2Br
1.0
-1.7597 4.7722 1.9644
-5.3492 0.9784 0.3985
-2.3731 0.2212 4.9040
Sb Tl Br
2 1 1
Cartesian
0.0000 0.0000 0.0000
-2.3705 1.4929 1.8167
-7.1115 4.4788 5.4502
-4.7410 2.9859 3.6335
```

Number 1: DFT total energy -61.41 eV per cell. Number 2: DFT total energy -64.21 eV per cell. Number 3: DFT total energy -10.82 eV per cell. Number 4: DFT total energy -18.06 eV per cell. Number 5: DFT total energy -24.59 eV per cell. Number 6: DFT total energy -48.51 eV per cell. Number 7: DFT total energy -8.84 eV per cell. Number 8: DFT total energy -233.81 eV per cell. Number 9: DFT total energy -21.77 eV per cell. Number 10: DFT total energy -84.25 eV per cell. Number 11: DFT total energy -27.45 eV per cell. Number 12: DFT total energy -12.40 eV per cell.